# 1
# Pm6Sb5Cl, relaxed, DFT PBE-GGA
# Energy ... -5.498 eV/atom
# Total magnetization ... 0.0 μB per formula unit
data_Pm6Sb5Cl
_chemical_formula_sum 'Pm12 Sb10 Cl2'
_space_group_name_H-M_alt 'C 1 2/m 1'
_space_group_IT_number 12
_cell_length_a 7.729
_cell_length_b 13.361
_cell_length_c 7.712
_cell_angle_alpha 90.00
_cell_angle_beta 109.50
_cell_angle_gamma 90.00
loop_
_space_group_symop_operation_xyz
'x,y,z'
'-x,-y,-z'
'-x,y,-z'
'x,-y,z'
'x+1/2,y+1/2,z'
'-x+1/2,-y+1/2,-z'
'-x+1/2,y+1/2,-z'
'x+1/2,-y+1/2,z'
loop_
_atom_site_label
_atom_site_type_symbol
_atom_site_fract_x
_atom_site_fract_y
_atom_site_fract_z
Pm1 Pm 0.244 0.000 0.255
Pm2 Pm 0.246 0.170 0.747
Sb1 Sb 0.000 0.000 0.500
Sb2 Sb 0.000 0.167 0.000
Sb3 Sb 0.000 0.334 0.500
Cl1 Cl 0.000 0.500 0.000

***

# 2
# Nb2GaNi3, relaxed, DFT PBE-GGA
# Energy of formation ... -0.300 eV per atom
# Energy ... -7.052 eV/atom
# Total magnetization ... 0.0 μB per formula unit
data_Nb2GaNi3
_chemical_formula_sum 'Nb16 Ga8 Ni24'
_space_group_name_H-M_alt 'F m m m'
_space_group_IT_number 69
_space_group_name_Hall '-F 2 2'
_cell_length_a 5.324
_cell_length_b 8.470
_cell_length_c 14.674
_cell_angle_alpha 90.00
_cell_angle_beta 90.00
_cell_angle_gamma 90.00
loop_
_atom_site_label
_atom_site_type_symbol
_atom_site_fract_x
_atom_site_fract_y
_atom_site_fract_z
Nb1 Nb 0.245 0.000 0.000
Nb2 Nb 0.250 0.250 0.250
Ga1 Ga 0.000 0.000 0.334
Ni1 Ni 0.000 0.000 0.168
Ni2 Ni 0.000 0.249 0.416